Material: CsCdC3
Method: DFT, PBE-GGA
State: relaxed

Unit cell a=4.705 b=4.705 c=4.705 alpha=90.00 beta=90.00 gamma=90.00
Site moments in Bohr magnetons follow the coordinates.
Fractional coordinates of all 5 atoms:
C: 0.000 0.500 0.000  0.69
C: 0.000 0.000 0.500  0.77
C: 0.500 0.000 0.000  0.77
Cd: 0.000 0.000 0.000  0.04
Cs: 0.500 0.500 0.500  0.13

## Properties
N(E_F) = 0.72 states/eV per atom
total energy = -2.895 eV/atom
magnetization = 4.93 Bohr magnetons per cell
relative energy among the computed polymorphs = 0.00 eV per formula unit
energy relative to the elements = 2993 meV per atom

=====

Material: LiSm2Al2Rh5
Method: DFT, PBE-GGA
State: relaxed

Unit cell a=3.439 b=9.999 c=9.999 alpha=90.00 beta=90.00 gamma=90.00
Fractional coordinates of all 20 atoms:
Sm: 0.000 0.325 0.825
Sm: 0.000 0.825 0.675
Sm: 0.000 0.675 0.175
Sm: 0.000 0.175 0.325
Al: 0.000 0.374 0.126
Al: 0.000 0.126 0.626
Al: 0.000 0.626 0.874
Al: 0.000 0.874 0.374
Rh: 0.500 0.206 0.065
Rh: 0.500 0.294 0.565
Rh: 0.500 0.935 0.206
Rh: 0.500 0.794 0.935
Rh: 0.500 0.500 0.000
Rh: 0.500 0.565 0.706
Rh: 0.500 0.435 0.294
Rh: 0.500 0.065 0.794
Rh: 0.500 0.000 0.500
Rh: 0.500 0.706 0.435
Li: 0.000 0.000 0.000
Li: 0.000 0.500 0.500

## Properties
N(E_F) = 0.58 states/eV per atom
total energy = -6.216 eV/atom
magnetization = 0.00 Bohr magnetons per cell
energy relative to the elements = -656 meV per atom